Material: MnTl3V2F9
Method: DFT, GGA+U
State: optimized geometry

```
15
Lattice="-2.594 -2.042 -5.084 4.074 -3.419 2.908 -5.446 -3.076 4.013" Properties=species:S:1:pos:R:3 pbc="T T T"
Mn -2.723 -1.538 2.007
Tl -1.788 -5.016 2.926
Tl 0.000 0.000 0.000
Tl -2.177 -3.521 -1.090
V 0.947 -3.471 0.911
V -4.912 -5.066 0.926
F -5.114 -4.325 -1.069
F -3.083 -6.029 0.380
F -3.821 -3.308 1.465
F -0.144 -5.229 0.372
F -0.882 -2.507 1.457
F 1.149 -4.211 2.906
F -1.297 -1.021 -2.542
F 2.037 -1.709 1.454
F 0.740 -2.730 -1.088
```

VASP energy (eV per formula unit): -81.46
Space-group type: P-3m1